Density functional theory data (PBE) for a relaxed CsTlAgHg crystal.

Cell lengths 5.8546, 5.8546, 5.8546 Å; angles 60.00, 60.00, 60.00 degrees
Closest atoms and distances in Å follow each position.
Element x y z (fractional)
Cs  0.5000  0.5000  0.5000  4 Ag 3.59, 4 Hg 3.59
Tl  0.0000  0.0000  0.0000  4 Hg 3.59, 4 Ag 3.59
Hg  0.7500  0.7500  0.7500  4 Tl 3.59, 4 Cs 3.59
Ag  0.2500  0.2500  0.2500  4 Tl 3.59, 4 Cs 3.59

Computed properties:
Space-group type: F-43m, No. 216
Energy of formation from the pure elements: 0.101 eV/atom
E_tot: -5.970 eV per cell